[1]
Sc4Ni: optimized geometry, PBE.

Computed properties:
Energy of formation: 423.5 meV per atom
Polymorph energy (0 for the lowest one): 549 meV per atom

a b c (Å): 3.6535 3.6535 16.8685
angles (deg): 90.00 90.00 90.00
Closest atoms and distances in Å follow each position.
Space group I4/mmm (No. 139)
Unique sites:
1 Sc 0.0000 0.0000 0.0834 x4  1 Sc 2.81, 4 Ni 2.94
2 Sc 0.0000 0.5000 0.2500 x4  4 Sc 2.58
3 Ni 0.0000 0.0000 0.5000 x2  8 Sc 2.94

=====

[2]
Sc4Ni: optimized geometry, PBE.

Computed properties:
Energy of formation: 248.5 meV per atom
Polymorph energy (0 for the lowest one): 374 meV per atom

a b c (Å): 9.8655 9.8655 9.8655
angles (deg): 90.00 90.00 90.00
Closest atoms and distances in Å follow each position.
Space group Fd-3m (No. 227, origin choice 2)
Unique sites:
1 Sc 0.0140 0.0140 0.2360 x32  1 Ni 2.37
2 Ni 0.1250 0.1250 0.6250 x8  4 Sc 2.37

=====

[3]
ScNi4: optimized geometry, PBE.

Computed properties:
Energy of formation: -162.9 meV per atom

a b c (Å): 8.1263 8.1263 8.1263
angles (deg): 90.00 90.00 90.00
Closest atoms and distances in Å follow each position.
Space group I-43m (No. 217)
Unique sites:
1 Sc 0.2223 0.2223 0.7777 x8  1 Ni 2.45
2 Ni 0.0000 0.0000 0.3491 x12  7 Ni 2.32-2.45
3 Ni 0.0000 0.2500 0.5000 x12  4 Ni 2.37
4 Ni 0.1036 0.1036 0.1036 x8  6 Ni 2.32-2.38, 1 Sc 2.45

=====

[4]
ScNi2: optimized geometry, PBE.

Computed properties:
Energy of formation: -118.7 meV per atom

a b c (Å): 3.4106 3.4106 4.0710
angles (deg): 90.00 90.00 90.00
Closest atoms and distances in Å follow each position.
Space group P4/mmm (No. 123)
Unique sites:
1 Sc 0.0000 0.0000 0.0000 x1  8 Ni 2.66
2 Ni 0.0000 0.5000 0.5000 x2  4 Ni 2.41, 4 Sc 2.66

=====

[5]
Sc4Ni: optimized geometry, PBE.

Computed properties:
Energy of formation: -6.0 meV per atom
Polymorph energy (0 for the lowest one): 120 meV per atom

a b c (Å): 4.9227 4.9227 4.9227
angles (deg): 90.00 90.00 90.00
Closest atoms and distances in Å follow each position.
Space group Pm-3m (No. 221)
Unique sites:
1 Sc 0.0000 0.0000 0.0000 x1  12 Sc 3.48
2 Sc 0.0000 0.5000 0.5000 x3  2 Ni 2.46
3 Ni 0.5000 0.5000 0.5000 x1  6 Sc 2.46

=====

[6]
ScNi4: optimized geometry, PBE.

Computed properties:
Energy of formation: -145.0 meV per atom

a b c (Å): 3.5263 3.5263 10.8889
angles (deg): 90.00 90.00 90.00
Closest atoms and distances in Å follow each position.
Space group I4/mmm (No. 139)
Unique sites:
1 Sc 0.0000 0.0000 0.0000 x2  8 Ni 2.74
2 Ni 0.0000 0.0000 0.3968 x4  5 Ni 2.25-2.38
3 Ni 0.0000 0.5000 0.2500 x4  8 Ni 2.38-2.49

=====

[7]
Sc5Ni4: optimized geometry, PBE.

Computed properties:
Energy of formation: -350.1 meV per atom
Polymorph energy (0 for the lowest one): 0 meV per atom

a b c (Å): 7.9776 7.9776 5.5905
angles (deg): 90.00 90.00 120.00
Closest atoms and distances in Å follow each position.
Space group P6_3/mcm (No. 193)
Unique sites:
1 Sc 0.0000 0.2792 0.2500 x6  7 Ni 2.63-2.93
2 Sc 0.3333 0.6667 0.0000 x4  2 Sc 2.80, 6 Ni 2.83
3 Ni 0.0000 0.0000 0.0000 x2  6 Sc 2.63, 2 Ni 2.80
4 Ni 0.0000 0.3900 0.7500 x6  9 Sc 2.64-2.93

=====

[8]
ScNi2: optimized geometry, PBE.

Computed properties:
Energy of formation: -378.1 meV per atom

a b c (Å): 3.6583 11.7945 3.8602
angles (deg): 90.00 90.00 90.00
Closest atoms and distances in Å follow each position.
Space group Cmcm (No. 63)
Unique sites:
1 Sc 0.0000 0.0995 0.2500 x4  8 Ni 2.57-2.66
2 Ni 0.0000 0.2478 0.7500 x4  4 Sc 2.57-2.60, 8 Ni 2.61-2.72
3 Ni 0.0000 0.4099 0.2500 x4  6 Ni 2.61-2.87, 6 Sc 2.66-2.89

=====

What did the second record say?
Sc4Ni: optimized geometry, PBE.

Computed properties:
Energy of formation: 248.5 meV per atom
Polymorph energy (0 for the lowest one): 374 meV per atom

a b c (Å): 9.8655 9.8655 9.8655
angles (deg): 90.00 90.00 90.00
Closest atoms and distances in Å follow each position.
Space group Fd-3m (No. 227, origin choice 2)
Unique sites:
1 Sc 0.0140 0.0140 0.2360 x32  1 Ni 2.37
2 Ni 0.1250 0.1250 0.6250 x8  4 Sc 2.37

=====

Among the records above, which one has the lowest energy of formation?
number 8

=====

The lowest energy of formation belongs to which entry?
number 8